(1)
Below is crystalline CuSi2Sn2 at its relaxed geometry, with properties calculated at the GGA-PBE level.

Computed properties:
**Formation energy (no corrections)**: 0.258 eV per atom
**Volume**: 19.89 A^3/atom

Unit cell a=6.3457 b=6.3457 c=4.9388 alpha=90.00 beta=90.00 gamma=90.00
Closest atoms and distances in Å follow each position.
Space group P4/mbm (No. 127)
Unique sites:
Cu 0.0000 0.0000 0.0000 (multiplicity 2)  4 Si 2.47
Si 0.1346 0.3654 0.0000 (multiplicity 4)  1 Si 2.42, 2 Cu 2.47
Sn 0.1945 0.6945 0.5000 (multiplicity 4)  2 Si 2.91, 4 Sn 3.25

(2)
Below is crystalline Cu3SiSn at its relaxed geometry, with properties calculated at the GGA-PBE level.

Computed properties:
**Formation energy (no corrections)**: 0.324 eV per atom
**Volume**: 18.03 A^3/atom

Unit cell a=4.4836 b=4.4836 c=4.4836 alpha=90.00 beta=90.00 gamma=90.00
Closest atoms and distances in Å follow each position.
Space group Pm-3m (No. 221)
Unique sites:
Cu 0.0000 0.0000 0.5000 (multiplicity 3)  2 Si 2.24
Si 0.0000 0.0000 0.0000 (multiplicity 1)  6 Cu 2.24
Sn 0.5000 0.5000 0.5000 (multiplicity 1)  12 Cu 3.17

(3)
Below is crystalline Cu21Si6Sn2 at its relaxed geometry, with properties calculated at the GGA-PBE level.

Computed properties:
**Formation energy (no corrections)**: 0.070 eV per atom
**Volume**: 13.91 A^3/atom

Unit cell a=11.7287 b=11.7287 c=11.7287 alpha=90.00 beta=90.00 gamma=90.00
Closest atoms and distances in Å follow each position.
Space group Fm-3m (No. 225)
Unique sites:
Cu 0.0000 0.0000 0.0000 (multiplicity 4)  12 Cu 2.85, 6 Si 3.18
Cu 0.0000 0.1718 0.1718 (multiplicity 48)  2 Si 2.33, 1 Cu 2.59
Cu 0.1211 0.1211 0.3789 (multiplicity 32)  3 Si 2.37, 1 Sn 2.62
Si 0.0000 0.0000 0.2713 (multiplicity 24)  8 Cu 2.33-2.37
Sn 0.2500 0.2500 0.2500 (multiplicity 8)  4 Cu 2.62

(4)
Below is crystalline Cu2SiSn at its relaxed geometry, with properties calculated at the GGA-PBE level.

Computed properties:
**Formation energy (no corrections)**: 0.174 eV per atom
**Volume**: 17.88 A^3/atom

Unit cell a=4.2377 b=4.2377 c=15.9303 alpha=90.00 beta=90.00 gamma=90.00
Closest atoms and distances in Å follow each position.
Space group I-42d (No. 122)
Unique sites:
Cu 0.1655 0.2500 0.1250 (multiplicity 8)  2 Si 2.36, 2 Cu 2.54
Si 0.0000 0.0000 0.0000 (multiplicity 4)  4 Cu 2.36
Sn 0.0000 0.0000 0.5000 (multiplicity 4)  4 Cu 2.66

(5)
Below is crystalline Cu2SiSn at its relaxed geometry, with properties calculated at the GGA-PBE level.

Computed properties:
**Formation energy (no corrections)**: 0.122 eV per atom
**Volume**: 17.49 A^3/atom

Unit cell a=4.0140 b=4.0140 c=15.0419 alpha=90.00 beta=90.00 gamma=120.00
Closest atoms and distances in Å follow each position.
Space group R-3m (No. 166, hexagonal axes)
Unique sites:
Cu 0.0000 0.0000 0.2063 (multiplicity 6)  3 Si 2.39, 3 Cu 2.61
Si 0.0000 0.0000 0.5000 (multiplicity 3)  6 Cu 2.39
Sn 0.0000 0.0000 0.0000 (multiplicity 3)  8 Cu 3.00-3.10

(6)
Below is crystalline Cu2SiSn at its relaxed geometry, with properties calculated at the GGA-PBE level.

Computed properties:
**Formation energy (no corrections)**: 0.329 eV per atom
**Volume**: 16.41 A^3/atom

Unit cell a=6.4031 b=6.4031 c=6.4031 alpha=90.00 beta=90.00 gamma=90.00
Closest atoms and distances in Å follow each position.
Space group Fm-3m (No. 225)
Unique sites:
Cu 0.2500 0.2500 0.2500 (multiplicity 8)  4 Sn 2.77, 4 Si 2.77
Si 0.0000 0.0000 0.0000 (multiplicity 4)  8 Cu 2.77
Sn 0.0000 0.0000 0.5000 (multiplicity 4)  8 Cu 2.77

(7)
Below is crystalline Cu2Si2Sn at its relaxed geometry, with properties calculated at the GGA-PBE level.

Computed properties:
**Formation energy (no corrections)**: 0.277 eV per atom
**Volume**: 16.05 A^3/atom

Unit cell a=7.5965 b=7.5965 c=2.7821 alpha=90.00 beta=90.00 gamma=90.00
Closest atoms and distances in Å follow each position.
Space group P4/mbm (No. 127)
Unique sites:
Cu 0.1513 0.3487 0.0000 (multiplicity 4)  6 Si 2.60-2.66, 2 Cu 2.78, 2 Sn 2.89
Si 0.1372 0.6372 0.5000 (multiplicity 4)  6 Cu 2.60-2.66, 2 Si 2.78
Sn 0.0000 0.0000 0.0000 (multiplicity 2)  2 Sn 2.78, 4 Cu 2.89

(8)
Below is crystalline CuSi2Sn2 at its relaxed geometry, with properties calculated at the GGA-PBE level.

Computed properties:
**Formation energy (no corrections)**: 0.482 eV per atom
**Volume**: 21.75 A^3/atom

Unit cell a=7.3920 b=7.3920 c=3.9809 alpha=90.00 beta=90.00 gamma=90.00
Closest atoms and distances in Å follow each position.
Space group P4/mbm (No. 127)
Unique sites:
Cu 0.0000 0.0000 0.0000 (multiplicity 2)  4 Sn 2.70
Si 0.1130 0.3870 0.5000 (multiplicity 4)  1 Si 2.36
Sn 0.1842 0.6842 0.0000 (multiplicity 4)  2 Cu 2.70, 6 Si 2.91-3.01

(9)
Below is crystalline Cu6SiSn at its relaxed geometry, with properties calculated at the GGA-PBE level.

Computed properties:
**Formation energy (no corrections)**: -0.014 eV per atom
**Volume**: 13.36 A^3/atom

Unit cell a=4.1821 b=5.6022 c=4.5626 alpha=90.00 beta=90.00 gamma=90.00
Closest atoms and distances in Å follow each position.
Space group Pmm2 (No. 25)
Unique sites:
Cu 0.0000 0.0000 0.0000 (multiplicity 1)  8 Cu 2.55-2.68, 2 Si 2.55, 2 Sn 2.80
Cu 0.0000 0.2274 0.4834 (multiplicity 2)  7 Cu 2.55-2.68, 2 Si 2.56, 2 Sn 2.71-2.78
Cu 0.5000 0.2260 0.8150 (multiplicity 2)  6 Cu 2.53-2.59, 2 Si 2.59-2.63, 2 Sn 2.69
Cu 0.5000 0.5000 0.3567 (multiplicity 1)  6 Cu 2.59-2.65, 2 Sn 2.73, 2 Si 2.81
Si 0.5000 0.0000 0.3207 (multiplicity 1)  12 Cu 2.55-2.81
Sn 0.0000 0.5000 0.9737 (multiplicity 1)  12 Cu 2.69-2.80

(10)
Below is crystalline TaCuSi2Sn at its relaxed geometry, with properties calculated at the GGA-PBE level.

Computed properties:
**Formation energy (no corrections)**: 0.886 eV per atom
**Volume**: 25.54 A^3/atom

Unit cell a=4.8767 b=4.8767 c=5.3689 alpha=90.00 beta=90.00 gamma=90.00
Closest atoms and distances in Å follow each position.
Space group P4/mmm (No. 123)
Unique sites:
Ta 0.0000 0.0000 0.0000 (multiplicity 1)  4 Si 2.44, 2 Sn 2.68
Cu 0.5000 0.5000 0.5000 (multiplicity 1)  4 Sn 3.45, 8 Si 3.63
Si 0.0000 0.5000 0.0000 (multiplicity 2)  2 Ta 2.44
Sn 0.0000 0.0000 0.5000 (multiplicity 1)  2 Ta 2.68

(11)
Below is crystalline CuSi2SnTe6 at its relaxed geometry, with properties calculated at the GGA-PBE level.

Computed properties:
**Formation energy (no corrections)**: -0.003 eV per atom
**Volume**: 32.38 A^3/atom

Unit cell a=14.1487 b=13.1332 c=7.3879 alpha=90.00 beta=109.35 gamma=90.00
Closest atoms and distances in Å follow each position.
Space group C2/c (No. 15)
Unique sites:
Cu 0.0000 0.2125 0.2500 (multiplicity 4)  4 Te 2.59-2.69
Si 0.1959 0.4259 0.7170 (multiplicity 8)  4 Te 2.56-2.57
Sn 0.0000 0.1397 0.7500 (multiplicity 4)  6 Te 3.10-3.30
Te 0.1120 0.0663 0.1646 (multiplicity 8)  1 Si 2.57, 1 Cu 2.69
Te 0.1250 0.4226 0.9935 (multiplicity 8)  2 Si 2.56-2.57
Te 0.1418 0.2488 0.5704 (multiplicity 8)  1 Si 2.57, 1 Cu 2.59

(12)
Below is crystalline CuSiSnTe2 at its relaxed geometry, with properties calculated at the GGA-PBE level.

Computed properties:
**Formation energy (no corrections)**: 0.865 eV per atom
**Volume**: 31.84 A^3/atom

Unit cell a=5.7946 b=5.7946 c=4.7410 alpha=90.00 beta=90.00 gamma=90.00
Closest atoms and distances in Å follow each position.
Space group P4/mmm (No. 123)
Unique sites:
Cu 0.0000 0.0000 0.0000 (multiplicity 1)  2 Sn 2.37
Si 0.5000 0.5000 0.0000 (multiplicity 1)  8 Te 3.74, 4 Cu 4.10
Sn 0.0000 0.0000 0.5000 (multiplicity 1)  2 Cu 2.37
Te 0.0000 0.5000 0.5000 (multiplicity 2)  2 Sn 2.90

(13)
Below is crystalline CuSiSnTe2 at its relaxed geometry, with properties calculated at the GGA-PBE level.

Computed properties:
**Formation energy (no corrections)**: 1.059 eV per atom
**Volume**: 33.84 A^3/atom

Unit cell a=5.7826 b=5.7826 c=5.0593 alpha=90.00 beta=90.00 gamma=90.00
Closest atoms and distances in Å follow each position.
Space group P4/mmm (No. 123)
Unique sites:
Cu 0.0000 0.0000 0.0000 (multiplicity 1)  8 Te 3.84, 4 Si 4.09
Si 0.5000 0.5000 0.0000 (multiplicity 1)  2 Sn 2.53
Sn 0.5000 0.5000 0.5000 (multiplicity 1)  2 Si 2.53
Te 0.0000 0.5000 0.5000 (multiplicity 2)  2 Sn 2.89